1.
# KRbMg14O15

A relaxed structure of KRbMg14O15 (PBE-GGA, Alexandria).

Results
The calculation puts the energy above the lowest structure with this stoichiometry at 3.113 eV/f.u. The formation energy from raw total energies comes out at -2.17 eV/atom.

Geometry as CIF:
```
data_KRbMg14O15
_symmetry_space_group_name_H-M 'P m m 2'
_symmetry_Int_Tables_number 25
_symmetry_space_group_name_Hall 'P 2 -2'
_cell_length_a 4.327
_cell_length_b 8.947
_cell_length_c 9.102
_cell_angle_alpha 90.00
_cell_angle_beta 90.00
_cell_angle_gamma 90.00
loop_
_atom_site_label
_atom_site_type_symbol
_atom_site_fract_x
_atom_site_fract_y
_atom_site_fract_z
K1 K 0.000 0.000 0.000
Rb1 Rb 0.000 0.500 0.152
Mg1 Mg 0.000 0.000 0.583
Mg2 Mg 0.000 0.233 0.336
Mg3 Mg 0.000 0.285 0.868
Mg4 Mg 0.000 0.500 0.620
Mg5 Mg 0.500 0.000 0.320
Mg6 Mg 0.500 0.000 0.844
Mg7 Mg 0.500 0.237 0.615
Mg8 Mg 0.500 0.248 0.094
Mg9 Mg 0.500 0.500 0.400
Mg10 Mg 0.500 0.500 0.845
O1 O 0.000 0.000 0.367
O2 O 0.000 0.227 0.638
O3 O 0.000 0.236 0.098
O4 O 0.000 0.500 0.414
O5 O 0.000 0.500 0.833
O6 O 0.500 0.000 0.099
O7 O 0.500 0.000 0.623
O8 O 0.500 0.228 0.856
O9 O 0.500 0.251 0.358
O10 O 0.500 0.500 0.052
O11 O 0.500 0.500 0.623
```

2.
# LiLaCd

A relaxed structure of LiLaCd (PBE-GGA, Alexandria).

Results
The calculation puts the energy above the lowest structure with this stoichiometry at 0.041 eV/f.u. The value obtained for the formation enthalpy at 0 K is -199 meV/atom.

Geometry as CIF:
```
data_LiLaCd
_symmetry_space_group_name_H-M 'I m a 2'
_symmetry_Int_Tables_number 46
_symmetry_space_group_name_Hall 'I 2 -2a'
_cell_length_a 10.306
_cell_length_b 12.765
_cell_length_c 7.357
_cell_angle_alpha 90.00
_cell_angle_beta 90.00
_cell_angle_gamma 90.00
loop_
_atom_site_label
_atom_site_type_symbol
_atom_site_fract_x
_atom_site_fract_y
_atom_site_fract_z
Li1 Li 0.000 0.000 0.000
Li2 Li 0.000 0.112 0.664
La1 La 0.250 0.000 0.337
La2 La 0.250 0.219 0.994
La3 La 0.250 0.719 0.495
Cd1 Cd 0.000 0.166 0.276
Cd2 Cd 0.250 0.501 0.276
```

3.
# Ca2AlHgC

A relaxed structure of Ca2AlHgC (PBE-GGA, Alexandria).

Results
The value obtained for the formation enthalpy at 0 K is -157 meV/atom.

Geometry as CIF:
```
data_Ca2AlHgC
_symmetry_space_group_name_H-M 'P 4/m m m'
_symmetry_Int_Tables_number 123
_symmetry_space_group_name_Hall '-P 4 2'
_cell_length_a 5.231
_cell_length_b 5.231
_cell_length_c 3.924
_cell_angle_alpha 90.00
_cell_angle_beta 90.00
_cell_angle_gamma 90.00
loop_
_atom_site_label
_atom_site_type_symbol
_atom_site_fract_x
_atom_site_fract_y
_atom_site_fract_z
Ca1 Ca 0.000 0.500 0.000
Al1 Al 0.000 0.000 0.500
Hg1 Hg 0.500 0.500 0.500
C1 C 0.000 0.000 0.000
```

4.
# BaCuSF

A relaxed structure of BaCuSF (PBE-GGA, Alexandria).

Results
The formation energy from raw total energies comes out at -2.03 eV/atom.

Geometry as CIF:
```
data_BaCuSF
_symmetry_space_group_name_H-M 'P 4/n m m'
_symmetry_Int_Tables_number 129
_cell_length_a 4.133
_cell_length_b 4.133
_cell_length_c 9.124
_cell_angle_alpha 90.00
_cell_angle_beta 90.00
_cell_angle_gamma 90.00
loop_
_symmetry_equiv_pos_as_xyz
'x,y,z'
'-x,-y,-z'
'-y+1/2,x,z'
'y+1/2,-x,-z'
'-x+1/2,-y+1/2,z'
'x+1/2,y+1/2,-z'
'y,-x+1/2,z'
'-y,x+1/2,-z'
'x+1/2,-y,-z'
'-x+1/2,y,z'
'-y,-x,-z'
'y,x,z'
'-x,y+1/2,-z'
'x,-y+1/2,z'
'y+1/2,x+1/2,-z'
'-y+1/2,-x+1/2,z'
loop_
_atom_site_label
_atom_site_type_symbol
_atom_site_fract_x
_atom_site_fract_y
_atom_site_fract_z
Ba1 Ba 0.250 0.250 0.180
Cu1 Cu 0.250 0.750 0.500
S1 S 0.250 0.250 0.643
F1 F 0.250 0.750 0.000
```

Number 1: mass density 3.3 g/cm³. Number 2: mass density 5.3 g/cm³. Number 3: mass density 4.9 g/cm³. Number 4: mass density 5.4 g/cm³.